## LaCoF2 (GGA+U)

Data for LaCoF2 after structural relaxation.

a = 6.557 Å, b = 6.557 Å, c = 6.557 Å
α = 33.00°, β = 33.00°, γ = 33.00°
Sites, in units of the cell vectors:
La: 0.000 0.000 0.000
Co: 0.500 0.500 0.500
F: 0.125 0.125 0.125
F: 0.875 0.875 0.875

Values from the calculation:
Total DFT energy (no corrections): -5.093 eV/atom
Distance to the lowest polymorph of the same formula: 158 meV/atom
SG: R-3m, No. 166